LuAlCuPt | GGA-PBE | optimized geometry

Calculated values
* energy above the lowest structure with this stoichiometry: 0.0 meV/atom
* volume: 270.1 Å³ per cell

Structure (CIF):
```
data_LuAlCuPt
_chemical_formula_sum 'Lu4 Al4 Cu4 Pt4'
_cell_length_a 6.4640
_cell_length_b 6.4640
_cell_length_c 6.4640
_cell_angle_alpha 90.00
_cell_angle_beta 90.00
_cell_angle_gamma 90.00
_space_group_name_H-M_alt 'F -4 3 m'
_space_group_IT_number 216
_space_group_name_Hall 'F -4 2 3'
loop_
_atom_site_label
_atom_site_type_symbol
_atom_site_fract_x
_atom_site_fract_y
_atom_site_fract_z
Lu1 Lu 0.0000 0.0000 0.0000
Al1 Al 0.0000 0.0000 0.5000
Cu1 Cu 0.2500 0.2500 0.7500
Pt1 Pt 0.2500 0.2500 0.2500
```